[1]
Here is crystalline Pm4GaPtCl2 at its relaxed geometry from Alexandria. Energies are from PBE-GGA.

Lattice parameters (Å, degrees): 7.3884 4.0554 7.5619 90.00 108.80 90.00
Last column: nearest neighbours and their distance in Å.
Positions (direct):
1 Pm 0.2196 0.0000 0.2366  2 Pt 2.84, 1 Ga 2.95, 3 Cl 3.12-3.14
2 Pm 0.2406 0.5000 0.7570  1 Pt 2.94, 2 Ga 2.97, 3 Cl 2.98-3.14
3 Pm 0.7594 0.5000 0.2430  1 Pt 2.94, 2 Ga 2.97, 3 Cl 2.98-3.14
4 Pm 0.7804 0.0000 0.7634  2 Pt 2.84, 1 Ga 2.95, 3 Cl 3.12-3.14
5 Ga 0.0000 0.0000 0.5000  6 Pm 2.95-2.97
6 Pt 0.0000 0.5000 0.0000  6 Pm 2.84-2.94
7 Cl 0.5000 0.0000 0.0000  6 Pm 2.98-3.14
8 Cl 0.5000 0.5000 0.5000  6 Pm 3.12-3.14

## Properties
VASP energy ... -40.92 eV per cell
Volume ... 26.81 Å³/atom



[2]
Here is crystalline P2INCl at its relaxed geometry from Alexandria. Energies are from PBE-GGA.

Lattice parameters (Å, degrees): 4.4637 4.4637 4.3136 90.00 90.00 90.00
Last column: nearest neighbours and their distance in Å.
Positions (direct):
1 P 0.0000 0.5000 0.0000  2 N 2.23
2 P 0.5000 0.0000 0.0000  2 N 2.23
3 I 0.0000 0.0000 0.5000  8 P 3.10, 4 Cl 3.16
4 N 0.5000 0.5000 0.0000  2 Cl 2.16, 4 P 2.23
5 Cl 0.5000 0.5000 0.5000  2 N 2.16

## Properties
VASP energy ... -16.49 eV per cell
Volume ... 17.19 Å³/atom
E above lowest polymorph ... 0.0 meV/atom



[3]
Here is crystalline Sr2LaCu at its relaxed geometry from Alexandria. Energies are from PBE-GGA.

Lattice parameters (Å, degrees): 8.0624 8.0174 4.3870 90.00 90.11 90.00
Last column: nearest neighbours and their distance in Å.
Positions (direct):
1 Sr 0.2500 0.2500 0.0000  4 La 3.59, 4 Cu 3.59, 2 Sr 4.01
2 Sr 0.2500 0.7500 0.0000  4 La 3.59, 4 Cu 3.59, 2 Sr 4.01
3 Sr 0.7500 0.2500 0.0000  4 La 3.59, 4 Cu 3.59, 2 Sr 4.01
4 Sr 0.7500 0.7500 0.0000  4 La 3.59, 4 Cu 3.59, 2 Sr 4.01
5 La 0.0000 0.0000 0.5000  8 Sr 3.59, 2 Cu 4.01
6 La 0.5000 0.5000 0.5000  8 Sr 3.59, 2 Cu 4.01
7 Cu 0.0000 0.5000 0.5000  8 Sr 3.59, 2 La 4.01
8 Cu 0.5000 0.0000 0.5000  8 Sr 3.59, 2 La 4.01

## Properties
VASP energy ... -22.19 eV per cell
Volume ... 35.45 Å³/atom
E above lowest polymorph ... 308.7 meV/atom
ΔH_f (0 K) ... 0.32 eV/atom



[4]
Here is crystalline CsReP2Pb at its relaxed geometry from Alexandria. Energies are from PBE-GGA.

Lattice parameters (Å, degrees): 4.7534 4.7534 5.7768 90.00 90.00 90.00
Last column: nearest neighbours and their distance in Å.
Positions (direct):
1 Cs 0.0000 0.0000 0.0000  2 Re 2.89
2 Re 0.0000 0.0000 0.5000  4 P 2.38
3 P 0.0000 0.5000 0.5000  2 Re 2.38
4 P 0.5000 0.0000 0.5000  2 Re 2.38
5 Pb 0.5000 0.5000 0.0000  4 Cs 3.36, 8 P 3.74

## Properties
VASP energy ... -23.98 eV per cell
Volume ... 26.11 Å³/atom
ΔH_f (0 K) ... 0.77 eV/atom



[5]
Here is crystalline Na2ThUS4 at its relaxed geometry from Alexandria. Energies are from PBE-GGA.

Lattice parameters (Å, degrees): 6.9396 3.9937 7.2152 90.00 108.59 90.00
Last column: nearest neighbours and their distance in Å.
Positions (direct):
1 Na 0.0000 0.0000 0.0000  6 S 2.94-2.95
2 Na 0.5000 0.5000 0.0000  6 S 2.91-2.93
3 Th 0.0000 0.5000 0.5000  6 S 2.83-2.84
4 U 0.5000 0.0000 0.5000  6 S 2.80-2.81
5 S 0.2497 0.0000 0.7392  1 U 2.81, 2 Th 2.84, 3 Na 2.91-2.94
6 S 0.2581 0.5000 0.2661  2 U 2.80, 1 Th 2.83, 3 Na 2.93-2.95
7 S 0.7419 0.5000 0.7339  2 U 2.80, 1 Th 2.83, 3 Na 2.93-2.95
8 S 0.7503 0.0000 0.2608  1 U 2.81, 2 Th 2.84, 3 Na 2.91-2.94

## Properties
VASP energy ... -49.74 eV per cell
Volume ... 23.69 Å³/atom



[6]
Here is crystalline TaSbBr2 at its relaxed geometry from Alexandria. Energies are from PBE-GGA.

Lattice parameters (Å, degrees): 13.8717 3.1835 6.9600 90.00 115.84 90.00
Last column: nearest neighbours and their distance in Å.
Positions (direct):
1 Ta 0.0000 0.0000 0.0000  4 Br 2.59, 2 Sb 2.84
2 Ta 0.5000 0.5000 0.0000  4 Br 2.59, 2 Sb 2.84
3 Sb 0.3391 0.0000 0.6840  2 Ta 2.84
4 Sb 0.8391 0.5000 0.6840  2 Ta 2.84
5 Br 0.1446 0.5000 0.9869  2 Ta 2.59
6 Br 0.4971 0.0000 0.2914  2 Ta 2.59
7 Br 0.6446 0.0000 0.9869  2 Ta 2.59
8 Br 0.9971 0.5000 0.2914  2 Ta 2.59

## Properties
VASP energy ... -41.11 eV per cell
Volume ... 34.58 Å³/atom
E above lowest polymorph ... 15.3 meV/atom



[7]
Here is crystalline NaTl2CdCl5 at its relaxed geometry from Alexandria. Energies are from PBE-GGA.

Lattice parameters (Å, degrees): 9.0717 9.0717 14.6169 90.00 90.00 153.68
Last column: nearest neighbours and their distance in Å.
Positions (direct):
1 Na 0.0387 0.9613 0.5000  4 Cl 2.64-2.86
2 Na 0.9613 0.0387 0.0000  4 Cl 2.64-2.86
3 Tl 0.3604 0.6396 0.3437  5 Cl 3.13-3.40
4 Tl 0.4133 0.5867 0.7104  6 Cl 3.16-3.31
5 Tl 0.5867 0.4133 0.2104  6 Cl 3.16-3.31
6 Tl 0.6396 0.3604 0.8437  5 Cl 3.13-3.40
7 Cd 0.2790 0.7210 0.0726  6 Cl 2.63-2.76
8 Cd 0.7210 0.2790 0.5726  6 Cl 2.63-2.76
9 Cl 0.0072 0.9928 0.8278  1 Na 2.64
10 Cl 0.1322 0.8678 0.0421  1 Cd 2.63
11 Cl 0.1966 0.8034 0.4559  2 Cd 2.71, 1 Na 2.86
12 Cl 0.2327 0.7673 0.6966  2 Cd 2.76
13 Cl 0.4270 0.5730 0.1078  1 Cd 2.67, 2 Na 2.67
14 Cl 0.5730 0.4270 0.6078  1 Cd 2.67, 2 Na 2.67
15 Cl 0.7673 0.2327 0.1966  2 Cd 2.76
16 Cl 0.8034 0.1966 0.9559  2 Cd 2.71, 1 Na 2.86
17 Cl 0.8678 0.1322 0.5421  1 Cd 2.63
18 Cl 0.9928 0.0072 0.3278  1 Na 2.64

## Properties
VASP energy ... -53.99 eV per cell
Volume ... 29.63 Å³/atom



[8]
Here is crystalline LiAlB3 at its relaxed geometry from Alexandria. Energies are from PBE-GGA.

Lattice parameters (Å, degrees): 4.1754 4.1754 4.1754 90.00 90.00 90.00
Last column: nearest neighbours and their distance in Å.
Positions (direct):
1 Li 0.0000 0.0000 0.0000  12 B 2.95
2 Al 0.5000 0.5000 0.5000  6 B 2.09
3 B 0.0000 0.5000 0.5000  2 Al 2.09
4 B 0.5000 0.0000 0.5000  2 Al 2.09
5 B 0.5000 0.5000 0.0000  2 Al 2.09

## Properties
VASP energy ... -17.92 eV per cell
Volume ... 14.56 Å³/atom
E above lowest polymorph ... 0.0 meV/atom
ΔH_f (0 K) ... 1.55 eV/atom



[9]
Here is crystalline Ce2Ga5Au3 at its relaxed geometry from Alexandria. Energies are from PBE-GGA.

Lattice parameters (Å, degrees): 4.3098 4.3098 11.2704 90.00 90.00 90.00
Last column: nearest neighbours and their distance in Å.
Positions (direct):
1 Ce 0.0000 0.5000 0.2459  6 Au 3.26-3.58, 10 Ga 3.32-3.58
2 Ce 0.5000 0.0000 0.7541  6 Au 3.26-3.58, 10 Ga 3.32-3.58
3 Ga 0.0000 0.0000 0.0000  4 Ga 2.60
4 Ga 0.0000 0.0000 0.5000  8 Au 2.75-3.05
5 Ga 0.0000 0.5000 0.8714  1 Au 2.48, 4 Ga 2.60
6 Ga 0.5000 0.0000 0.1286  1 Au 2.48, 4 Ga 2.60
7 Ga 0.5000 0.5000 0.0000  4 Ga 2.60
8 Au 0.0000 0.5000 0.6518  3 Ga 2.48-2.75, 2 Au 2.75
9 Au 0.5000 0.0000 0.3482  3 Ga 2.48-2.75, 2 Au 2.75
10 Au 0.5000 0.5000 0.5000  4 Au 2.75, 4 Ga 3.05

## Properties
VASP energy ... -41.54 eV per cell
Volume ... 20.93 Å³/atom
E above lowest polymorph ... 118.0 meV/atom
ΔH_f (0 K) ... -0.47 eV/atom



[10]
Here is crystalline Cd2Ru2N at its relaxed geometry from Alexandria. Energies are from PBE-GGA.

Lattice parameters (Å, degrees): 3.3785 3.3785 15.4461 90.00 90.00 90.00
Last column: nearest neighbours and their distance in Å.
Positions (direct):
1 Cd 0.0000 0.0000 0.0884  1 Cd 2.73, 4 N 2.75, 4 Ru 3.01
2 Cd 0.0000 0.0000 0.9116  1 Cd 2.73, 4 N 2.75, 4 Ru 3.01
3 Cd 0.5000 0.5000 0.4116  1 Cd 2.73, 4 N 2.75, 4 Ru 3.01
4 Cd 0.5000 0.5000 0.5884  1 Cd 2.73, 4 N 2.75, 4 Ru 3.01
5 Ru 0.0000 0.5000 0.2500  4 Ru 2.39
6 Ru 0.0000 0.5000 0.7500  4 Ru 2.39
7 Ru 0.5000 0.0000 0.2500  4 Ru 2.39
8 Ru 0.5000 0.0000 0.7500  4 Ru 2.39
9 N 0.0000 0.0000 0.5000  8 Cd 2.75
10 N 0.5000 0.5000 0.0000  8 Cd 2.75

## Properties
VASP energy ... -45.93 eV per cell
Volume ... 17.63 Å³/atom
E above lowest polymorph ... 807.5 meV/atom



[11]
Here is crystalline BeP2Cl at its relaxed geometry from Alexandria. Energies are from PBE-GGA.

Lattice parameters (Å, degrees): 3.5075 3.5075 18.3642 90.00 90.00 120.00
Last column: nearest neighbours and their distance in Å.
Positions (direct):
1 Be 0.0000 0.0000 0.0000  6 P 2.24
2 Be 0.3333 0.6667 0.6667  6 P 2.24
3 Be 0.6667 0.3333 0.3333  6 P 2.24
4 P 0.0000 0.0000 0.2818  3 Be 2.24
5 P 0.0000 0.0000 0.7182  3 Be 2.24
6 P 0.3333 0.6667 0.3849  3 Be 2.24
7 P 0.3333 0.6667 0.9485  3 Be 2.24
8 P 0.6667 0.3333 0.0515  3 Be 2.24
9 P 0.6667 0.3333 0.6151  3 Be 2.24
10 Cl 0.0000 0.0000 0.5000  6 P 2.93
11 Cl 0.3333 0.6667 0.1667  6 P 2.93
12 Cl 0.6667 0.3333 0.8333  6 P 2.93

## Properties
VASP energy ... -46.25 eV per cell
Volume ... 16.31 Å³/atom
E above lowest polymorph ... 628.1 meV/atom



[12]
Here is crystalline ScZn2Co at its relaxed geometry from Alexandria. Energies are from PBE-GGA.

Lattice parameters (Å, degrees): 3.8195 3.8563 8.0027 90.00 90.00 90.00
Last column: nearest neighbours and their distance in Å.
Positions (direct):
1 Sc 0.0000 0.0000 0.0000  4 Co 2.71, 8 Zn 2.77
2 Sc 0.5000 0.5000 0.5000  4 Co 2.71, 8 Zn 2.77
3 Zn 0.0000 0.5000 0.2492  4 Zn 2.71, 4 Co 2.76-2.78, 4 Sc 2.77
4 Zn 0.0000 0.5000 0.7508  4 Zn 2.71, 4 Co 2.76-2.78, 4 Sc 2.77
5 Zn 0.5000 0.0000 0.2508  4 Zn 2.71, 4 Co 2.76-2.78, 4 Sc 2.77
6 Zn 0.5000 0.0000 0.7492  4 Zn 2.71, 4 Co 2.76-2.78, 4 Sc 2.77
7 Co 0.0000 0.0000 0.5000  4 Sc 2.71, 8 Zn 2.76-2.78
8 Co 0.5000 0.5000 0.0000  4 Sc 2.71, 8 Zn 2.76-2.78

## Properties
VASP energy ... -33.90 eV per cell
Volume ... 14.73 Å³/atom
ΔH_f (0 K) ... -0.24 eV/atom